No. 1
DFT (PBE) results for a geometry-optimized ZnAgIrF6 structure.

Cell: 5.5058 5.5058 10.3102 Å, 90.00 90.00 120.00°
Fractional coordinates of all 18 atoms:
Zn1 0.3333 0.6667 0.2500
Zn2 0.6667 0.3333 0.7500
Ag1 0.0000 0.0000 0.0000
Ag2 0.0000 0.0000 0.5000
Ir1 0.3333 0.6667 0.7500
Ir2 0.6667 0.3333 0.2500
F1 0.0062 0.3620 0.6471
F2 0.0062 0.6442 0.8529
F3 0.3558 0.3620 0.8529
F4 0.3558 0.9938 0.6471
F5 0.3620 0.0062 0.1471
F6 0.3620 0.3558 0.3529
F7 0.6380 0.6442 0.6471
F8 0.6380 0.9938 0.8529
F9 0.6442 0.0062 0.3529
F10 0.6442 0.6380 0.1471
F11 0.9938 0.3558 0.1471
F12 0.9938 0.6380 0.3529

Output
The crystal system is trigonal. As for the uncorrected formation energy: -1.5700 eV/atom.

No. 2
DFT (PBE) results for a geometry-optimized KAg6F8 structure.

Cell: 8.7604 8.7604 3.6987 Å, 90.00 90.00 120.00°
Fractional coordinates of all 15 atoms:
K1 0.0000 0.0000 0.0000
Ag1 0.1341 0.6661 0.2670
Ag2 0.3339 0.4680 0.2670
Ag3 0.4680 0.1341 0.7330
Ag4 0.5320 0.8659 0.2670
Ag5 0.6661 0.5320 0.7330
Ag6 0.8659 0.3339 0.7330
F1 0.0116 0.3098 0.2338
F2 0.2982 0.9884 0.2338
F3 0.3098 0.2982 0.7662
F4 0.3333 0.6667 0.7648
F5 0.6667 0.3333 0.2352
F6 0.6902 0.7018 0.2338
F7 0.7018 0.0116 0.7662
F8 0.9884 0.6902 0.7662

Output
The crystal system is trigonal. As for the uncorrected formation energy: -1.2167 eV/atom.

No. 3
DFT (PBE) results for a geometry-optimized K2AgF4 structure.

Cell: 3.8391 10.3936 6.5123 Å, 90.00 92.41 90.00°
Fractional coordinates of all 14 atoms:
K1 0.0215 0.1822 0.4150
K2 0.0215 0.3178 0.9150
K3 0.9785 0.6822 0.0850
K4 0.9785 0.8178 0.5850
Ag1 0.5000 0.0000 0.0000
Ag2 0.5000 0.5000 0.5000
F1 0.1006 0.0527 0.7747
F2 0.1006 0.4473 0.2747
F3 0.4842 0.6897 0.3760
F4 0.4842 0.8103 0.8760
F5 0.5158 0.1897 0.1240
F6 0.5158 0.3103 0.6240
F7 0.8994 0.5527 0.7253
F8 0.8994 0.9473 0.2253

Output
The crystal system is monoclinic. The value obtained for the excess energy over the best structure of this formula in the dataset is 0.0 meV/atom. As for the uncorrected formation energy: -2.1128 eV/atom.

No. 4
DFT (PBE) results for a geometry-optimized K3AgF8 structure.

Cell: 7.2423 7.2423 7.2423 Å, 130.91 130.91 71.95°
Fractional coordinates of all 12 atoms:
K1 0.0000 0.0000 0.0000
K2 0.2500 0.7500 0.5000
K3 0.7500 0.2500 0.5000
Ag1 0.5000 0.5000 0.0000
F1 0.1781 0.1781 0.5743
F2 0.1781 0.6038 0.0000
F3 0.3962 0.3962 0.5743
F4 0.3962 0.8219 0.0000
F5 0.6038 0.1781 0.0000
F6 0.6038 0.6038 0.4257
F7 0.8219 0.3962 0.0000
F8 0.8219 0.8219 0.4257

Output
The crystal system is tetragonal. As for the uncorrected formation energy: -1.6843 eV/atom.

No. 5
DFT (PBE) results for a geometry-optimized K2AgF3 structure.

Cell: 6.4224 6.4224 6.4224 Å, 146.13 131.17 60.75°
Fractional coordinates of all 6 atoms:
K1 0.1655 0.1655 0.0000
K2 0.8345 0.8345 0.0000
Ag1 0.5000 0.5000 0.0000
F1 0.0000 0.5000 0.5000
F2 0.3454 0.8454 0.5000
F3 0.6546 0.1546 0.5000

Output
The crystal system is orthorhombic. The value obtained for the excess energy over the best structure of this formula in the dataset is 0.0 meV/atom. As for the uncorrected formation energy: -2.1332 eV/atom.

No. 6
DFT (PBE) results for a geometry-optimized KAgF5 structure.

Cell: 5.7672 5.7672 8.5438 Å, 110.22 110.22 68.64°
Fractional coordinates of all 14 atoms:
K1 0.0061 0.9939 0.7500
K2 0.9939 0.0061 0.2500
Ag1 0.5000 0.5000 0.0000
Ag2 0.5000 0.5000 0.5000
F1 0.1317 0.6754 0.9638
F2 0.1635 0.4383 0.3938
F3 0.3246 0.8683 0.5362
F4 0.4383 0.1635 0.8938
F5 0.4821 0.5179 0.7500
F6 0.5179 0.4821 0.2500
F7 0.5617 0.8365 0.1062
F8 0.6754 0.1317 0.4638
F9 0.8365 0.5617 0.6062
F10 0.8683 0.3246 0.0362

Output
The crystal system is monoclinic. As for the uncorrected formation energy: -1.5028 eV/atom.